Model one:
The following is a DFT calculation (PBE with a Hubbard U) of Hf2MnO after structural relaxation.

For the magnetization, the calculation gives 0.000 Bohr magnetons per cell.

It has space group Fm-3m (No. 225), with a = 6.2275 Å, b = 6.2275 Å, c = 6.2275 Å, α = 90.00°, β = 90.00° and γ = 90.00°. Symmetry generates all atoms from Hf at (0.2500, 0.2500, 0.2500), Mn at (0.0000, 0.0000, 0.0000) and O at (0.0000, 0.0000, 0.5000).

***

Model two:
The following is a DFT calculation (PBE with a Hubbard U) of Hf2MnO after structural relaxation.

For the magnetization, the calculation gives 0.217 Bohr magnetons per cell.

It has space group I-42d (No. 122), with a = 6.3508 Å, b = 6.3508 Å, c = 6.7462 Å, α = 90.00°, β = 90.00° and γ = 90.00°. Symmetry generates all atoms from Hf at (0.1658, 0.7500, 0.1250), Mn at (0.0000, 0.0000, 0.5000) and O at (0.0000, 0.0000, 0.0000).

***

Least stable: model one

***

Model one:
The following is a DFT calculation (PBE with a Hubbard U) of Hf2Mn2O after structural relaxation.

For the magnetization, the calculation gives 15.167 Bohr magnetons per cell.

It has space group I4/mmm (No. 139), with a = 3.3829 Å, b = 3.3829 Å, c = 15.4771 Å, α = 90.00°, β = 90.00° and γ = 90.00°. Symmetry generates all atoms from Hf at (0.0000, 0.0000, 0.0942), Mn at (0.0000, 0.5000, 0.2500) and O at (0.0000, 0.0000, 0.5000).

***

Model two:
The following is a DFT calculation (PBE with a Hubbard U) of Hf2Mn2O after structural relaxation.

For the magnetization, the calculation gives 17.744 Bohr magnetons per cell.

It has space group P4/mbm (No. 127), with a = 5.9208 Å, b = 5.9208 Å, c = 5.3109 Å, α = 90.00°, β = 90.00° and γ = 90.00°. Symmetry generates all atoms from Hf at (0.1724, 0.3276, 0.0000), Mn at (0.1579, 0.6579, 0.5000) and O at (0.0000, 0.0000, 0.0000).

***

Least stable: model one

***

Model one:
The following is a DFT calculation (PBE with a Hubbard U) of HfMnO2 after structural relaxation.

For the magnetization, the calculation gives 12.130 Bohr magnetons per cell.

It has space group Fm-3m (No. 225), with a = 5.5314 Å, b = 5.5314 Å, c = 5.5314 Å, α = 90.00°, β = 90.00° and γ = 90.00°. Symmetry generates all atoms from Hf at (0.0000, 0.0000, 0.0000), Mn at (0.0000, 0.0000, 0.5000) and O at (0.2500, 0.2500, 0.2500).

***

Model two:
The following is a DFT calculation (PBE with a Hubbard U) of HfMnO2 after structural relaxation.

For the magnetization, the calculation gives 13.863 Bohr magnetons per cell.

It has space group I-42d (No. 122), with a = 4.8960 Å, b = 4.8960 Å, c = 9.9325 Å, α = 90.00°, β = 90.00° and γ = 90.00°. Symmetry generates all atoms from Hf at (0.0000, 0.0000, 0.0000), Mn at (0.0000, 0.0000, 0.5000) and O at (0.2211, 0.2500, 0.1250).

***

Least stable: model one

***

Model one:
The following is a DFT calculation (PBE with a Hubbard U) of HfMnPO2 after structural relaxation.

For the magnetization, the calculation gives 4.338 Bohr magnetons per cell.

It has space group P4/mmm (No. 123), with a = 3.9841 Å, b = 3.9841 Å, c = 5.4987 Å, α = 90.00°, β = 90.00° and γ = 90.00°. Symmetry generates all atoms from Hf at (0.0000, 0.0000, 0.0000), Mn at (0.5000, 0.5000, 0.5000), P at (0.0000, 0.0000, 0.5000) and O at (0.0000, 0.5000, 0.0000).

***

Model two:
The following is a DFT calculation (PBE with a Hubbard U) of HfMnPO2 after structural relaxation.

For the magnetization, the calculation gives 3.733 Bohr magnetons per cell.

It has space group P4/mmm (No. 123), with a = 3.7657 Å, b = 3.7657 Å, c = 4.8685 Å, α = 90.00°, β = 90.00° and γ = 90.00°. Symmetry generates all atoms from Hf at (0.0000, 0.0000, 0.0000), Mn at (0.5000, 0.5000, 0.5000), P at (0.5000, 0.5000, 0.0000) and O at (0.0000, 0.5000, 0.5000).

***

Least stable: model two